[1]
First-principles (PBE) data for a relaxed structure of Ho7Rh2Au2, as listed in the Alexandria database.

The space group is Imm2 (No. 44) and the conventional cell measures 3.7838, 15.4760 and 9.4825 Å, with angles of 90.00, 90.00 and 90.00 degrees. The distinct sites, in fractional coordinates, are Ho at (0.0000, 0.0000, 0.0000), Ho at (0.0000, 0.1190, 0.5827), Ho at (0.0000, 0.3148, 0.3827), Ho at (0.0000, 0.3596, 0.7407), Rh at (0.0000, 0.2440, 0.0841), Au at (0.0000, 0.0000, 0.3278) and Au at (0.0000, 0.5000, 0.2496).

---

[2]
First-principles (PBE) data for a relaxed structure of HoRhAu2, as listed in the Alexandria database.

The space group is Fm-3m (No. 225) and the conventional cell measures 6.7458, 6.7458 and 6.7458 Å, with angles of 90.00, 90.00 and 90.00 degrees. The distinct sites, in fractional coordinates, are Ho at (0.0000, 0.0000, 0.0000), Rh at (0.0000, 0.0000, 0.5000) and Au at (0.2500, 0.2500, 0.2500).

---

[3]
First-principles (PBE) data for a relaxed structure of Ho3RhAu, as listed in the Alexandria database.

The space group is C2/m (No. 12) and the conventional cell measures 9.7222, 6.3085 and 9.1542 Å, with angles of 90.00, 121.25 and 90.00 degrees. The distinct sites, in fractional coordinates, are Ho at (0.0639, 0.0000, 0.2801), Ho at (0.1887, 0.5000, 0.8760), Ho at (0.2130, 0.5000, 0.2906), Rh at (0.0000, 0.2530, 0.0000) and Au at (0.0000, 0.2835, 0.5000).

---

[4]
First-principles (PBE) data for a relaxed structure of Ho4RhAu3, as listed in the Alexandria database.

The space group is P4/mmm (No. 123) and the conventional cell measures 3.5258, 3.5258 and 14.2895 Å, with angles of 90.00, 90.00 and 90.00 degrees. The distinct sites, in fractional coordinates, are Ho at (0.0000, 0.0000, 0.1159), Ho at (0.0000, 0.0000, 0.3711), Rh at (0.5000, 0.5000, 0.0000), Au at (0.5000, 0.5000, 0.2455) and Au at (0.5000, 0.5000, 0.5000).

---

[5]
First-principles (PBE) data for a relaxed structure of Ho4RhAu, as listed in the Alexandria database.

The space group is C2/m (No. 12) and the conventional cell measures 6.8914, 6.8914 and 6.8736 Å, with angles of 90.00, 90.10 and 90.00 degrees. The distinct sites, in fractional coordinates, are Ho at (0.2496, 0.2501, 0.2420), Rh at (0.0000, 0.0000, 0.0000) and Au at (0.0000, 0.5000, 0.5000).

---

[6]
First-principles (PBE) data for a relaxed structure of Ho8Rh3Au2, as listed in the Alexandria database.

The space group is P2/m (No. 10) and the conventional cell measures 8.4493, 4.8745 and 8.4600 Å, with angles of 90.00, 109.21 and 90.00 degrees. The distinct sites, in fractional coordinates, are Ho at (0.1195, 0.0000, 0.3802), Ho at (0.1321, 0.5000, 0.8722), Ho at (0.3723, 0.5000, 0.6318), Ho at (0.3790, 0.0000, 0.1210), Rh at (0.2504, 0.0000, 0.7501), Rh at (0.5000, 0.5000, 0.0000) and Au at (0.2466, 0.5000, 0.2534).

---

[7]
First-principles (PBE) data for a relaxed structure of Ho4Rh3Au, as listed in the Alexandria database.

The space group is P4/mmm (No. 123) and the conventional cell measures 4.8507, 4.8507 and 7.0105 Å, with angles of 90.00, 90.00 and 90.00 degrees. The distinct sites, in fractional coordinates, are Ho at (0.0000, 0.5000, 0.2423), Rh at (0.0000, 0.0000, 0.0000), Rh at (0.0000, 0.0000, 0.5000), Rh at (0.5000, 0.5000, 0.0000) and Au at (0.5000, 0.5000, 0.5000).

---

[8]
First-principles (PBE) data for a relaxed structure of Ho2RhAu6, as listed in the Alexandria database.

The space group is C2/m (No. 12) and the conventional cell measures 13.3941, 3.9758 and 7.0097 Å, with angles of 90.00, 111.91 and 90.00 degrees. The distinct sites, in fractional coordinates, are Ho at (0.0576, 0.0000, 0.3053), Rh at (0.0000, 0.5000, 0.0000), Au at (0.1046, 0.5000, 0.6701), Au at (0.1677, 0.0000, 0.0065) and Au at (0.2287, 0.5000, 0.3330).

---

no.,formation enthalpy at 0 K (eV/atom),size of the total moment (μB/f.u.)
1,-0.677,0.00
2,-0.503,0.00
3,-0.694,0.00
4,-0.875,0.00
5,-0.531,0.00
6,-0.654,0.00
7,-0.873,0.00
8,-0.594,0.00